# 1
Below is a relaxed Tm2HgMo crystal, with properties calculated at the PBE-GGA level.

SG = P4/mmm, No. 123
formation enthalpy at 0 K = -57 meV per atom
DFT total energy = -20.30 eV per cell
spin magnetization = 0.0 μB per cell
ρ = 11.5 g/cm3

Cell lengths 3.504, 3.504, 7.429 Å; angles 90.00, 90.00, 90.00 degrees
Positions (direct):
Tm  0.000  0.000  0.226
Tm  0.000  0.000  0.774
Hg  0.500  0.500  0.500
Mo  0.500  0.500  0.000



# 2
Below is a relaxed VHgMo2 crystal, with properties calculated at the PBE-GGA level.

SG = I-42d, No. 122
formation enthalpy at 0 K = 858 meV per atom
DFT total energy = -55.30 eV per cell
spin magnetization = 3.3 μB per cell
ρ = 10.2 g/cm3

Cell lengths 10.153, 10.153, 10.153 Å; angles 158.24, 158.24, 30.96 degrees
Positions (direct):
V  0.000  0.000  0.000
V  0.750  0.250  0.500
Hg  0.250  0.750  0.500
Hg  0.500  0.500  0.000
Mo  0.095  0.625  0.970
Mo  0.375  0.345  0.470
Mo  0.655  0.125  0.030
Mo  0.875  0.905  0.530